*1*
A plane-wave DFT calculation with PBE was carried out for a geometry-optimized LaTe2W structure.

Geometry as POSCAR:
```
LaTe2W
1.0
-1.526 -4.944 -3.517
3.522 -1.474 -4.956
0.788 1.364 6.055
La Te W
1 2 1
Direct
0.750 0.250 0.500
0.000 0.000 0.000
0.250 0.750 0.500
0.500 0.500 0.000
```

Properties
* calculated density: 9.0 Mg/m³
* space-group type: I-4m2 (119)


*2*
A plane-wave DFT calculation with PBE was carried out for a geometry-optimized LaTe2W structure.

Geometry as POSCAR:
```
LaTe2W
1.0
5.542 -0.004 0.024
4.342 3.443 0.024
1.637 0.570 5.480
La Te W
1 2 1
Direct
0.234 0.234 0.212
0.995 0.995 0.991
0.781 0.781 0.673
0.490 0.490 0.624
```

Properties
* calculated density: 9.2 Mg/m³
* space-group type: Cm (8)


The structure with the greatest stability is *2*.


*1*
A plane-wave DFT calculation with PBE was carried out for a geometry-optimized LaTe2W structure.

Geometry as POSCAR:
```
LaTe2W
1.0
10.014 -0.658 3.048
10.443 0.980 -0.012
9.688 2.819 2.865
Te W La
2 1 1
Direct
0.894 0.894 0.894
0.106 0.106 0.106
0.500 0.500 0.500
0.000 0.000 0.000
```

Properties
* calculated density: 8.8 Mg/m³
* space-group type: R-3m (166)


*2*
A plane-wave DFT calculation with PBE was carried out for a geometry-optimized LaTe2W structure.

Geometry as POSCAR:
```
LaTe2W
1.0
5.788 0.000 0.000
0.000 5.788 0.000
2.894 2.894 8.017
Te W La
4 2 2
Direct
0.708 0.125 0.250
0.042 0.625 0.250
0.375 0.292 0.750
0.875 0.958 0.750
0.000 0.000 0.000
0.750 0.250 0.500
0.500 0.500 0.000
0.250 0.750 0.500
```

Properties
* calculated density: 7.1 Mg/m³
* space-group type: I-42d (122)


The structure with the greatest stability is *1*.


*1*
A plane-wave DFT calculation with PBE was carried out for a geometry-optimized LaTe2W structure.

Geometry as POSCAR:
```
LaTe2W
1.0
-3.415 -1.375 2.439
-0.998 -2.442 -2.774
3.383 -4.951 1.944
La Te W
1 2 1
Direct
0.500 0.750 0.750
0.000 0.123 0.019
0.000 0.377 0.481
0.500 0.250 0.250
```

Properties
* calculated density: 9.1 Mg/m³
* space-group type: P2/m (10)


*2*
A plane-wave DFT calculation with PBE was carried out for a geometry-optimized LaTe2W structure.

Geometry as POSCAR:
```
LaTe2W
1.0
-0.811 -1.355 3.493
2.853 -2.539 -0.323
4.446 4.636 2.831
La Te W
1 2 1
Direct
0.500 0.500 0.761
0.000 0.000 0.997
0.500 0.500 0.299
0.000 0.000 0.443
```

Properties
* calculated density: 9.3 Mg/m³
* space-group type: P4mm (99)


*3*
A plane-wave DFT calculation with PBE was carried out for a geometry-optimized LaTe2W structure.

Geometry as POSCAR:
```
LaTe2W
1.0
9.525 -0.014 -0.008
8.864 3.486 -0.008
8.864 1.674 3.058
La Te W
1 2 1
Direct
0.750 0.750 0.750
0.984 0.984 0.984
0.516 0.516 0.516
0.250 0.250 0.250
```

Properties
* calculated density: 9.4 Mg/m³
* space-group type: R-3m (166)


The structure with the greatest stability is *1*.


*1*
A plane-wave DFT calculation with PBE was carried out for a geometry-optimized LaYTe2 structure.

Geometry as POSCAR:
```
LaYTe2
1.0
-2.591 2.803 2.080
-1.180 -0.771 4.112
4.981 4.573 4.584
La Y Te
1 1 2
Direct
0.496 0.496 0.511
0.671 0.671 0.988
0.078 0.078 0.767
0.256 0.256 0.233
```

Properties
* calculated density: 6.3 Mg/m³
* space-group type: R3m (160)


*2*
A plane-wave DFT calculation with PBE was carried out for a geometry-optimized LaYTe2 structure.

Geometry as POSCAR:
```
LaYTe2
1.0
5.510 0.000 0.000
2.755 4.772 0.000
2.755 1.591 4.499
La Te Y
1 2 1
Direct
0.500 0.500 0.500
0.000 0.000 0.000
0.250 0.250 0.250
0.750 0.750 0.750
```

Properties
* calculated density: 6.8 Mg/m³
* space-group type: F-43m (216)


*3*
A plane-wave DFT calculation with PBE was carried out for a geometry-optimized LaYTe2 structure.

Geometry as POSCAR:
```
LaYTe2
1.0
0.285 10.003 1.989
4.219 9.281 0.391
0.893 9.906 -2.274
Y Te La
1 2 1
Direct
0.500 0.500 0.500
0.894 0.894 0.894
0.106 0.106 0.106
0.000 0.000 0.000
```

Properties
* calculated density: 5.0 Mg/m³
* space-group type: R-3m (166)


*4*
A plane-wave DFT calculation with PBE was carried out for a geometry-optimized LaYTe2 structure.

Geometry as POSCAR:
```
LaYTe2
1.0
7.297 0.152 0.020
5.927 4.259 0.020
-0.012 -0.004 4.428
La Te Y
1 2 1
Direct
0.779 0.779 0.875
0.011 0.011 0.875
0.245 0.245 0.375
0.465 0.465 0.375
```

Properties
* calculated density: 6.0 Mg/m³
* space-group type: Amm2 (38)


The structure with the greatest stability is *1*.


*1*
A plane-wave DFT calculation with PBE was carried out for a geometry-optimized LaYTe2 structure.

Geometry as POSCAR:
```
LaYTe2
1.0
-0.961 -0.308 -3.728
-0.764 -3.752 0.507
-8.109 -2.024 2.258
La Te Y
1 2 1
Direct
0.500 0.750 0.750
0.000 0.990 0.010
0.000 0.510 0.490
0.500 0.250 0.250
```

Properties
* calculated density: 6.9 Mg/m³
* space-group type: P4/mmm (123)


*2*
A plane-wave DFT calculation with PBE was carried out for a geometry-optimized LaYTe2 structure.

Geometry as POSCAR:
```
LaYTe2
1.0
-7.721 -0.007 1.727
-5.030 -4.924 3.613
6.936 3.805 -0.094
Y Te La
1 2 1
Direct
0.541 0.541 0.000
0.964 0.964 0.000
0.701 0.201 0.500
0.294 0.794 0.500
```

Properties
* calculated density: 6.3 Mg/m³
* space-group type: Imm2 (44)


*3*
A plane-wave DFT calculation with PBE was carried out for a geometry-optimized LaYTe2 structure.

Geometry as POSCAR:
```
LaYTe2
1.0
7.072 0.000 0.000
0.000 7.072 0.000
3.536 3.536 6.991
Y Te La
2 4 2
Direct
0.500 0.500 0.000
0.250 0.750 0.500
0.605 0.125 0.250
0.145 0.625 0.250
0.375 0.395 0.750
0.875 0.855 0.750
0.000 0.000 0.000
0.750 0.250 0.500
```

Properties
* calculated density: 4.6 Mg/m³
* space-group type: I-42d (122)


*4*
A plane-wave DFT calculation with PBE was carried out for a geometry-optimized LaYTe2 structure.

Geometry as POSCAR:
```
LaYTe2
1.0
-5.106 -1.860 -3.250
2.595 -2.558 -2.613
-0.545 -3.439 2.824
Y Te La
1 2 1
Direct
0.000 0.375 0.375
0.000 0.875 0.875
0.500 0.375 0.375
0.500 0.875 0.875
```

Properties
* calculated density: 6.3 Mg/m³
* space-group type: P4/mmm (123)


The structure with the greatest stability is *4*.


*1*
A plane-wave DFT calculation with PBE was carried out for a geometry-optimized LaYTe2 structure.

Geometry as POSCAR:
```
LaYTe2
1.0
0.000 3.868 3.868
3.868 0.000 3.868
3.868 3.868 0.000
Y Te La
1 2 1
Direct
0.000 0.000 0.000
0.250 0.250 0.250
0.750 0.750 0.750
0.500 0.500 0.500
```

Properties
* calculated density: 6.9 Mg/m³
* space-group type: Fm-3m (225)


*2*
A plane-wave DFT calculation with PBE was carried out for a geometry-optimized LaYTe2 structure.

Geometry as POSCAR:
```
LaYTe2
1.0
-1.018 4.089 -1.447
-3.006 2.445 2.198
3.994 5.006 4.436
Y Te La
1 2 1
Direct
0.250 0.250 0.250
0.995 0.995 0.016
0.505 0.505 0.484
0.750 0.750 0.750
```

Properties
* calculated density: 6.3 Mg/m³
* space-group type: C2/m (12)


The structure with the greatest stability is *2*.